Tm6Bi2N PBE-GGA optimized geometry; calculated density = 8905 kg/m3; density of states at the Fermi level = 8.9 states/eV/f.u.; crystal system = tetragonal; M_tot = 0.00 μB/atom; E_tot = -5.174 eV per atom
1.0
6.2572 0.0000 0.0000
0.0000 6.2572 0.0000
0.0000 0.0000 13.7695
Tm Bi N
12 4 2
Direct
0.8131 0.1869 0.1167 Tm
0.6994 0.6994 0.0000 Tm
0.6869 0.6869 0.6167 Tm
0.3131 0.3131 0.6167 Tm
0.1994 0.8006 0.5000 Tm
0.8131 0.1869 0.8833 Tm
0.3131 0.3131 0.3833 Tm
0.6869 0.6869 0.3833 Tm
0.1869 0.8131 0.1167 Tm
0.3006 0.3006 0.0000 Tm
0.8006 0.1994 0.5000 Tm
0.1869 0.8131 0.8833 Tm
0.0000 0.0000 0.3061 Bi
0.5000 0.5000 0.1939 Bi
0.5000 0.5000 0.8061 Bi
0.0000 0.0000 0.6939 Bi
0.0000 0.0000 0.0000 N
0.5000 0.5000 0.5000 N

=====

Tm2ZrBi2N2 PBE-GGA optimized geometry; calculated density = 9847 kg/m3; density of states at the Fermi level = 3.4 states/eV/f.u.; crystal system = tetragonal; M_tot = 0.00 μB/atom; E_tot = -6.908 eV per atom
1.0
-2.5574 2.5627 2.1983
-3.3253 -1.4340 -2.1968
1.8055 -6.4920 5.5880
N Zr Tm Bi
2 1 2 2
Direct
0.5000 0.0000 0.0000 N
0.0000 0.5000 0.0000 N
0.0000 0.0000 0.0000 Zr
0.4061 0.4061 0.8121 Tm
0.5939 0.5939 0.1879 Tm
0.8087 0.8087 0.6174 Bi
0.1913 0.1913 0.3826 Bi

=====

U2Bi2N PBE-GGA optimized geometry; calculated density = 12007 kg/m3; density of states at the Fermi level = 11.8 states/eV/f.u.; crystal system = orthorhombic; M_tot = 0.71 μB/atom; E_tot = -8.123 eV per atom
1.0
-3.3365 -1.0135 4.8516
4.2944 -0.8103 6.4632
1.4801 5.0577 5.7531
Bi U N
4 4 2
Direct
0.3429 0.3284 0.9857 Bi
0.8429 0.9857 0.3284 Bi
0.6571 0.6716 0.0143 Bi
0.1571 0.0143 0.6716 Bi
0.9083 0.4062 0.7773 U
0.0917 0.5938 0.2227 U
0.5918 0.2227 0.5938 U
0.4082 0.7773 0.4062 U
0.7500 0.5000 0.5000 N
0.2500 0.5000 0.5000 N

=====

U3Bi2N PBE-GGA optimized geometry; calculated density = 13014 kg/m3; density of states at the Fermi level = 14.0 states/eV/f.u.; crystal system = orthorhombic; M_tot = 0.81 μB/atom; E_tot = -8.659 eV per atom
1.0
4.0769 0.0000 0.0000
0.0000 7.3339 0.0000
0.0000 0.0000 19.5632
U Bi N
12 8 4
Direct
0.2500 0.9744 0.8235 U
0.7500 0.8398 0.5426 U
0.2500 0.4744 0.6765 U
0.7500 0.3398 0.9574 U
0.7500 0.0256 0.1765 U
0.2500 0.6602 0.0426 U
0.7500 0.8527 0.3482 U
0.7500 0.3527 0.1518 U
0.2500 0.1473 0.6518 U
0.2500 0.6473 0.8482 U
0.7500 0.5256 0.3235 U
0.2500 0.1602 0.4574 U
0.2500 0.1190 0.0605 Bi
0.7500 0.8105 0.7117 Bi
0.2500 0.6895 0.2117 Bi
0.7500 0.3105 0.7883 Bi
0.2500 0.1895 0.2883 Bi
0.7500 0.8810 0.9395 Bi
0.2500 0.6190 0.4395 Bi
0.7500 0.3810 0.5605 Bi
0.2500 0.9805 0.5558 N
0.2500 0.4805 0.9442 N
0.7500 0.0195 0.4442 N
0.7500 0.5195 0.0558 N

=====

UBiN2 PBE-GGA optimized geometry; calculated density = 9237 kg/m3; density of states at the Fermi level = 1.7 states/eV/f.u.; crystal system = trigonal; M_tot = 0.00 μB/atom; E_tot = -8.582 eV per atom
1.0
-2.5985 -1.6714 1.6033
0.3426 -0.9664 3.3265
-3.8620 6.2501 4.0349
U N Bi
1 2 1
Direct
0.5000 0.5000 0.5000 U
0.7979 0.7979 0.6062 N
0.2021 0.2021 0.3938 N
0.0000 0.0000 0.0000 Bi

=====

ZrUBi2N PBE-GGA optimized geometry; calculated density = 11023 kg/m3; density of states at the Fermi level = 6.1 states/eV/f.u.; crystal system = tetragonal; M_tot = 0.26 μB/atom; E_tot = -7.856 eV per atom
1.0
-1.8666 -3.3172 -1.1165
3.1747 -1.0718 -2.1230
5.4151 -6.9544 11.6087
U N Zr Bi
2 2 2 4
Direct
0.5000 0.0000 0.5749 U
0.0000 0.5000 0.4251 U
0.0000 0.0000 0.5000 N
0.5000 0.5000 0.5000 N
0.5000 0.0000 0.0673 Zr
0.0000 0.5000 0.9327 Zr
0.5000 0.0000 0.8551 Bi
0.0000 0.5000 0.1449 Bi
0.0000 0.5000 0.7080 Bi
0.5000 0.0000 0.2920 Bi

=====

VBi3N PBE-GGA optimized geometry; calculated density = 9762 kg/m3; density of states at the Fermi level = 3.4 states/eV/f.u.; crystal system = cubic; polymorph energy (0 for the lowest one) = 0 meV/atom; M_tot = 0.68 μB/atom; E_tot = -5.054 eV per atom
1.0
4.9006 0.0000 0.0000
0.0000 4.9006 0.0000
0.0000 0.0000 4.9006
Bi N V
3 1 1
Direct
0.5000 0.0000 0.0000 Bi
0.0000 0.5000 0.0000 Bi
0.0000 0.0000 0.5000 Bi
0.0000 0.0000 0.0000 N
0.5000 0.5000 0.5000 V

=====

VBiN2 PBE-GGA optimized geometry; calculated density = 7614 kg/m3; density of states at the Fermi level = 2.5 states/eV/f.u.; crystal system = tetragonal; M_tot = 0.00 μB/atom; E_tot = -7.509 eV per atom
1.0
-4.4678 1.5491 -2.4034
-1.2123 -5.0643 -1.0106
-5.0192 -2.0116 2.1801
N Bi V
4 2 2
Direct
0.3750 0.5076 0.7500 N
0.8750 0.7424 0.7500 N
0.2576 0.6250 0.2500 N
0.4924 0.1250 0.2500 N
0.7500 0.2500 0.5000 Bi
0.0000 0.0000 0.0000 Bi
0.2500 0.7500 0.5000 V
0.5000 0.5000 0.0000 V

=====

V2BiN PBE-GGA optimized geometry; calculated density = 7624 kg/m3; density of states at the Fermi level = 4.1 states/eV/f.u.; crystal system = tetragonal; polymorph energy (0 for the lowest one) = 0 meV/atom; M_tot = 0.24 μB/atom; E_tot = -7.648 eV per atom
1.0
4.9941 0.0000 0.0000
0.0000 4.9941 0.0000
2.4971 2.4971 5.6737
V N Bi
4 2 2
Direct
0.3750 0.5637 0.7500 V
0.3137 0.6250 0.2500 V
0.8750 0.6863 0.7500 V
0.4363 0.1250 0.2500 V
0.5000 0.5000 0.0000 N
0.2500 0.7500 0.5000 N
0.7500 0.2500 0.5000 Bi
0.0000 0.0000 0.0000 Bi

=====

VBiN2 PBE-GGA optimized geometry; calculated density = 8514 kg/m3; density of states at the Fermi level = 2.2 states/eV/f.u.; crystal system = trigonal; M_tot = 0.13 μB/atom; E_tot = -7.413 eV per atom
1.0
-4.9925 3.3501 -3.5270
-5.8560 3.7374 -0.5724
-3.7186 5.6073 -1.8217
Bi V N
1 1 2
Direct
0.0000 0.0000 0.0000 Bi
0.5000 0.5000 0.5000 V
0.8828 0.8828 0.8828 N
0.1172 0.1172 0.1172 N

=====

V2BiN PBE-GGA optimized geometry; calculated density = 9158 kg/m3; density of states at the Fermi level = 1.7 states/eV/f.u.; crystal system = cubic; polymorph energy (0 for the lowest one) = 1064 meV/atom; M_tot = 0.00 μB/atom; E_tot = -6.585 eV per atom
1.0
0.0000 3.0882 3.0882
3.0882 0.0000 3.0882
3.0882 3.0882 0.0000
V Bi N
2 1 1
Direct
0.7500 0.7500 0.7500 V
0.2500 0.2500 0.2500 V
0.5000 0.5000 0.5000 Bi
0.0000 0.0000 0.0000 N

=====

VBiN2 PBE-GGA optimized geometry; calculated density = 6866 kg/m3; density of states at the Fermi level = 2.5 states/eV/f.u.; crystal system = trigonal; M_tot = 0.40 μB/atom; E_tot = -6.765 eV per atom
1.0
1.1836 -1.2299 6.3635
3.9328 -2.6658 4.5645
3.8832 0.8526 5.2538
Bi V N
1 1 2
Direct
0.5000 0.5000 0.5000 Bi
0.0000 0.0000 0.0000 V
0.9027 0.9027 0.9027 N
0.0973 0.0973 0.0973 N